Record 1
Here is crystalline Ca3OsC at its relaxed geometry from Alexandria. Energies are from PBE-GGA.

The structure in POSCAR format:
```
Ca3OsC
1.0
4.891 0.000 0.000
0.000 4.891 0.000
0.000 0.000 4.891
Ca Os C
3 1 1
direct
0.000 0.000 0.500
0.000 0.500 0.000
0.500 0.000 0.000
0.500 0.500 0.500
0.000 0.000 0.000
```

- relative energy among the computed polymorphs (eV/atom) = 0.000
- ΔE_f (eV/atom) = 0.796
- DOS at the Fermi energy (states/eV/atom) = 0.790


Record 2
Here is crystalline CaOs3C at its relaxed geometry from Alexandria. Energies are from PBE-GGA.

The structure in POSCAR format:
```
CaOs3C
1.0
4.175 0.000 0.000
0.000 4.175 0.000
0.000 0.000 4.175
Ca Os C
1 3 1
direct
0.000 0.000 0.000
0.000 0.500 0.500
0.500 0.000 0.500
0.500 0.500 0.000
0.500 0.500 0.500
```

- relative energy among the computed polymorphs (eV/atom) = 0.000
- ΔE_f (eV/atom) = 0.486
- DOS at the Fermi energy (states/eV/atom) = 1.329